No. 1
{"formula": "Sn3SbPd", "functional": "PBE", "state": "relaxed", "magnetic_moment_mub_per_fu": 0.00, "cell": [[7.007, 0.240, -0.591], [-1.686, 6.805, 0.591], [-3.413, -2.954, 5.487]], "species": ["Sn", "Sn", "Sn", "Sn", "Sn", "Sn", "Sb", "Sb", "Pd", "Pd"], "frac_coords": [[0.823, 0.048, 0.265], [0.217, 0.442, 0.265], [0.783, 0.558, 0.735], [0.733, 0.452, 0.186], [0.177, 0.952, 0.735], [0.267, 0.548, 0.814], [0.735, 0.048, 0.783], [0.265, 0.952, 0.217], [0.616, 0.752, 0.368], [0.384, 0.248, 0.632]]}

=====

No. 2
{"formula": "SnSb2Pd3", "functional": "PBE", "state": "relaxed", "magnetic_moment_mub_per_fu": 0.00, "cell": [[4.181, 0.000, 0.000], [0.000, 7.563, -1.080], [0.000, -0.079, 7.911]], "species": ["Sn", "Sn", "Sb", "Sb", "Sb", "Sb", "Pd", "Pd", "Pd", "Pd", "Pd", "Pd"], "frac_coords": [[0.250, 0.572, 0.873], [0.750, 0.428, 0.127], [0.250, 0.673, 0.461], [0.750, 0.327, 0.539], [0.750, 0.022, 0.800], [0.250, 0.978, 0.200], [0.750, 0.672, 0.687], [0.250, 0.328, 0.313], [0.750, 0.888, 0.408], [0.250, 0.112, 0.592], [0.250, 0.224, 0.952], [0.750, 0.776, 0.048]]}

=====

No. 3
{"formula": "SnSbPd3", "functional": "PBE", "state": "relaxed", "magnetic_moment_mub_per_fu": 0.00, "cell": [[-0.831, -2.498, -5.471], [-6.374, -4.912, 3.211], [-5.053, 5.435, -1.714]], "species": ["Sn", "Sn", "Sn", "Sn", "Sb", "Sb", "Sb", "Sb", "Pd", "Pd", "Pd", "Pd", "Pd", "Pd", "Pd", "Pd", "Pd", "Pd", "Pd", "Pd"], "frac_coords": [[0.000, 0.500, 0.000], [0.500, 0.000, 0.500], [0.500, 0.000, 0.000], [0.000, 0.500, 0.500], [0.498, 0.547, 0.750], [0.002, 0.047, 0.250], [0.502, 0.453, 0.250], [0.998, 0.953, 0.750], [0.751, 0.249, 0.064], [0.749, 0.749, 0.564], [0.749, 0.749, 0.936], [0.249, 0.751, 0.564], [0.249, 0.751, 0.936], [0.251, 0.251, 0.436], [0.251, 0.251, 0.064], [0.751, 0.249, 0.436], [0.001, 0.260, 0.750], [0.499, 0.760, 0.250], [0.999, 0.740, 0.250], [0.501, 0.240, 0.750]]}

=====

No. 4
{"formula": "Sn8SbPd2", "functional": "PBE", "state": "relaxed", "magnetic_moment_mub_per_fu": 0.00, "cell": [[5.186, -0.641, -0.081], [-0.885, 4.946, -4.039], [0.207, 1.027, 10.535]], "species": ["Sn", "Sn", "Sn", "Sn", "Sn", "Sn", "Sn", "Sn", "Sb", "Pd", "Pd"], "frac_coords": [[0.268, 0.676, 0.348], [0.717, 0.270, 0.640], [0.596, 0.028, 0.215], [0.184, 0.271, 0.429], [0.248, 0.582, 0.906], [0.387, 0.952, 0.793], [0.790, 0.693, 0.575], [0.771, 0.472, 0.045], [0.057, 0.121, 0.062], [0.181, 0.114, 0.632], [0.801, 0.821, 0.354]]}

=====

No. 5
{"formula": "Sn2Sb2Pd", "functional": "PBE", "state": "relaxed", "magnetic_moment_mub_per_fu": 0.00, "cell": [[-1.959, 3.072, 4.593], [-4.784, 2.029, -3.397], [-0.394, -8.007, 1.446]], "species": ["Sn", "Sn", "Sn", "Sn", "Sb", "Sb", "Sb", "Sb", "Pd", "Pd"], "frac_coords": [[0.171, 0.850, 0.342], [0.829, 0.150, 0.658], [0.329, 0.508, 0.658], [0.671, 0.492, 0.342], [0.409, 0.079, 0.819], [0.591, 0.921, 0.181], [0.091, 0.261, 0.181], [0.909, 0.739, 0.819], [0.750, 0.500, 0.000], [0.250, 0.500, 0.000]]}

=====

No. 6
{"formula": "Sn2Sb2Pd3", "functional": "PBE", "state": "relaxed", "magnetic_moment_mub_per_fu": 0.00, "cell": [[3.748, 0.000, 0.001], [-1.866, 6.709, -0.368], [0.005, 0.645, 6.206]], "species": ["Sn", "Sn", "Sb", "Sb", "Pd", "Pd", "Pd"], "frac_coords": [[0.898, 0.800, 0.614], [0.102, 0.200, 0.386], [0.647, 0.295, 0.942], [0.353, 0.705, 0.058], [0.000, 0.000, 0.000], [0.751, 0.499, 0.321], [0.249, 0.501, 0.679]]}

=====

No. 7
{"formula": "SnSbPd2", "functional": "PBE", "state": "relaxed", "magnetic_moment_mub_per_fu": 0.00, "cell": [[4.949, 0.000, 0.000], [0.000, 6.986, 0.000], [0.000, 0.000, 9.852]], "species": ["Sn", "Sn", "Sn", "Sn", "Sb", "Sb", "Sb", "Sb", "Pd", "Pd", "Pd", "Pd", "Pd", "Pd", "Pd", "Pd"], "frac_coords": [[0.750, 0.601, 0.665], [0.250, 0.899, 0.165], [0.250, 0.399, 0.335], [0.750, 0.101, 0.835], [0.750, 0.943, 0.378], [0.250, 0.557, 0.878], [0.250, 0.057, 0.622], [0.750, 0.443, 0.122], [0.750, 0.221, 0.572], [0.250, 0.279, 0.072], [0.250, 0.779, 0.428], [0.750, 0.721, 0.928], [0.750, 0.553, 0.395], [0.250, 0.947, 0.895], [0.250, 0.447, 0.605], [0.750, 0.053, 0.105]]}

=====

No. 8
{"formula": "Sn3SbPd", "functional": "PBE", "state": "relaxed", "magnetic_moment_mub_per_fu": 0.00, "cell": [[-2.309, -4.511, -1.270], [4.507, -1.749, -1.981], [1.286, -1.971, 4.664]], "species": ["Sb", "Sn", "Sn", "Sn", "Pd"], "frac_coords": [[0.500, 0.500, 0.500], [0.000, 0.500, 0.000], [0.000, 0.000, 0.500], [0.500, 0.000, 0.000], [0.000, 0.000, 0.000]]}

=====

no.,DFT total energy (eV/atom)
1,-4.397
2,-5.039
3,-5.058
4,-4.359
5,-4.392
6,-4.874
7,-4.999
8,-4.226